[1]
Ba2GaCuF: relaxed, PBE.

Properties
Formation energy (no corrections) = -0.42 eV/atom
Total DFT energy (no corrections) = -14.95 eV per cell
M_tot = 0.00 Bohr magnetons per cell

abc: 6.368 4.424 6.368
angles: 90.00 90.00 90.00
Sites, in units of the cell vectors:
F 0.000 0.500 0.000
Ba 0.500 0.000 0.000
Ba 0.000 0.000 0.500
Cu 0.500 0.500 0.500
Ga 0.000 0.000 0.000


[2]
Cr2CdHg: relaxed, PBE.

Properties
Polymorph energy (0 for the lowest one) = 206.6 kJ/mol of formula units
Total DFT energy (no corrections) = -34.35 eV per cell
M_tot = 17.14 Bohr magnetons per cell
Formation energy = 3.3 eV/f.u.

abc: 7.603 7.603 6.154
angles: 51.85 51.85 90.00
Site moments in Bohr magnetons follow the coordinates.
Sites, in units of the cell vectors:
Cd 0.500 0.500 0.000  -0.01
Cd 0.250 0.750 0.500  -0.01
Hg 0.750 0.250 0.500  0.01
Cr 0.875 0.880 0.750  3.84
Cr 0.375 0.370 0.750  3.84
Hg 0.000 0.000 0.000  0.01
Cr 0.120 0.625 0.250  3.84
Cr 0.630 0.125 0.250  3.84


[3]
V2PCl: relaxed, PBE.

Properties
Formation energy (no corrections) = -0.12 eV/atom
Polymorph energy (0 for the lowest one) = 0.0 kJ/mol of formula units
Total DFT energy (no corrections) = -25.98 eV per cell
M_tot = 2.13 Bohr magnetons per cell

abc: 4.239 4.239 4.239
angles: 60.00 60.00 60.00
Site moments in Bohr magnetons follow the coordinates.
Sites, in units of the cell vectors:
Cl 0.500 0.500 0.500  -0.05
V 0.250 0.250 0.250  0.98
P 0.000 0.000 0.000  -0.09
V 0.750 0.750 0.750  0.98


[4]
Hf2GeIr: relaxed, PBE.

Properties
Total DFT energy (no corrections) = -64.86 eV per cell
M_tot = 0.00 Bohr magnetons per cell
Formation energy = 1.0 eV/f.u.

abc: 5.488 5.488 8.000
angles: 69.94 69.94 90.00
Sites, in units of the cell vectors:
Ir 0.750 0.250 0.500
Ge 0.250 0.750 0.500
Hf 0.875 0.890 0.750
Hf 0.640 0.125 0.250
Ir 0.000 0.000 0.000
Hf 0.110 0.625 0.250
Ge 0.500 0.500 0.000
Hf 0.375 0.360 0.750


[5]
Rb3PmHo2O6: relaxed, PBE.

Properties
Formation energy (no corrections) = -2.67 eV/atom
Total DFT energy (no corrections) = -78.56 eV per cell
M_tot = 0.00 Bohr magnetons per cell

abc: 6.132 6.132 6.883
angles: 98.54 98.54 120.00
Sites, in units of the cell vectors:
O 0.716 0.716 0.176
Rb 0.500 0.500 0.500
O 0.941 0.599 0.824
Pm 0.000 0.000 0.000
O 0.059 0.401 0.176
Ho 0.333 0.667 0.000
O 0.284 0.284 0.824
Rb 0.167 0.833 0.500
O 0.599 0.941 0.824
Ho 0.667 0.333 0.000
Rb 0.833 0.167 0.500
O 0.401 0.059 0.176


[6]
Na3CoTc: relaxed, PBE.

Properties
Polymorph energy (0 for the lowest one) = 120.7 kJ/mol of formula units
Total DFT energy (no corrections) = -12.22 eV per cell
M_tot = 5.05 Bohr magnetons per cell
Formation energy = 9.2 eV/f.u.

abc: 5.514 5.514 5.514
angles: 90.00 90.00 90.00
Site moments in Bohr magnetons follow the coordinates.
Sites, in units of the cell vectors:
Co 0.500 0.500 0.500  2.17
Tc 0.000 0.000 0.000  2.82
Na 0.500 0.000 0.000  0.00
Na 0.000 0.500 0.000  -0.01
Na 0.000 0.000 0.500  -0.01


[7]
LaCd3B: relaxed, PBE.

Properties
Polymorph energy (0 for the lowest one) = 672.0 kJ/mol of formula units
Total DFT energy (no corrections) = -5.81 eV per cell
M_tot = 2.78 Bohr magnetons per cell
Formation energy = 8.5 eV/f.u.

abc: 6.197 6.197 6.197
angles: 90.00 90.00 90.00
Site moments in Bohr magnetons follow the coordinates.
Sites, in units of the cell vectors:
Cd 0.500 0.000 0.000  0.12
Cd 0.000 0.500 0.000  0.05
Cd 0.000 0.000 0.500  0.02
B 0.500 0.500 0.500  0.32
La 0.000 0.000 0.000  0.52


[8]
YNb2Hg: relaxed, PBE.

Properties
Total DFT energy (no corrections) = -48.54 eV per cell
M_tot = 0.00 Bohr magnetons per cell
Formation energy = 2.6 eV/f.u.

abc: 8.136 8.136 6.403
angles: 50.56 50.56 90.00
Sites, in units of the cell vectors:
Nb 0.875 0.902 0.750
Hg 0.000 0.000 0.000
Nb 0.375 0.348 0.750
Y 0.500 0.500 0.000
Y 0.250 0.750 0.500
Nb 0.652 0.125 0.250
Hg 0.750 0.250 0.500
Nb 0.098 0.625 0.250


[9]
Cs2TeAuI6: relaxed, PBE.

Properties
Formation energy (no corrections) = -0.69 eV/atom
Total DFT energy (no corrections) = -24.35 eV per cell
M_tot = 0.00 Bohr magnetons per cell

abc: 8.504 8.504 8.533
angles: 60.11 60.11 90.00
Sites, in units of the cell vectors:
Au 0.000 0.000 0.000
Cs 0.750 0.250 0.500
Cs 0.250 0.750 0.500
I 0.243 0.243 0.000
I 0.757 0.243 0.000
I 0.243 0.757 0.000
Te 0.500 0.500 0.000
I 0.757 0.757 0.000
I 0.247 0.247 0.507
I 0.753 0.753 0.493


[10]
PmEr2As3: relaxed, PBE.

Properties
Total DFT energy (no corrections) = -36.90 eV per cell
M_tot = 0.00 Bohr magnetons per cell
Formation energy = -9.1 eV/f.u.

abc: 4.137 5.853 7.161
angles: 114.13 106.79 90.00
Sites, in units of the cell vectors:
As 0.328 0.328 0.656
Pm 0.000 0.500 0.000
As 0.672 0.672 0.344
Er 0.666 0.166 0.332
Er 0.334 0.834 0.668
As 0.000 0.000 0.000


[11]
ScCdN2: relaxed, PBE.

Properties
Formation energy (no corrections) = -0.21 eV/atom
Total DFT energy (no corrections) = -24.75 eV per cell
M_tot = 0.00 Bohr magnetons per cell

abc: 6.566 6.566 6.566
angles: 29.62 29.62 29.62
Sites, in units of the cell vectors:
Sc 0.500 0.500 0.500
N 0.109 0.109 0.109
N 0.891 0.891 0.891
Cd 0.000 0.000 0.000


[12]
CeThSi: relaxed, PBE.

Properties
Formation energy (no corrections) = -0.39 eV/atom
Polymorph energy (0 for the lowest one) = 42.4 kJ/mol of formula units
Total DFT energy (no corrections) = -39.90 eV per cell
M_tot = 0.77 Bohr magnetons per cell

abc: 5.110 5.749 6.032
angles: 117.50 90.00 90.01
Site moments in Bohr magnetons follow the coordinates.
Sites, in units of the cell vectors:
Si 0.752 0.208 0.442  -0.01
Ce 0.252 0.067 0.150  0.34
Ce 0.752 0.941 0.853  0.34
Th 0.752 0.617 0.261  0.00
Th 0.252 0.390 0.742  0.00
Si 0.252 0.800 0.562  -0.01


- Which of these has the highest total DFT energy (no corrections)?
  LaCd3B


- Which value of total DFT energy (no corrections) does entry 2 give?
  -34.35 eV per cell


Please write out number 7 again, unchanged.
LaCd3B: relaxed, PBE.

Properties
Polymorph energy (0 for the lowest one) = 672.0 kJ/mol of formula units
Total DFT energy (no corrections) = -5.81 eV per cell
M_tot = 2.78 Bohr magnetons per cell
Formation energy = 8.5 eV/f.u.

abc: 6.197 6.197 6.197
angles: 90.00 90.00 90.00
Site moments in Bohr magnetons follow the coordinates.
Sites, in units of the cell vectors:
Cd 0.500 0.000 0.000  0.12
Cd 0.000 0.500 0.000  0.05
Cd 0.000 0.000 0.500  0.02
B 0.500 0.500 0.500  0.32
La 0.000 0.000 0.000  0.52